! SnHgGeCl2 (PBE, optimized geometry); values from VASP
&SYSTEM
  ibrav = 0, nat = 5, ntyp = 4
/
ATOMIC_SPECIES
Cl 35.45 Cl.upf
Hg 200.59 Hg.upf
Ge 72.64 Ge.upf
Sn 118.71 Sn.upf
CELL_PARAMETERS angstrom
-3.7833 -3.8026 -0.6631
4.0544 -3.8561 -1.0187
0.2315 -1.1504 5.2760
ATOMIC_POSITIONS crystal
Cl 0.0000 0.0000 0.5000
Hg 0.0000 0.5000 0.0000
Ge 0.5000 0.5000 0.5000
Cl 0.5000 0.0000 0.0000
Sn 0.0000 0.0000 0.0000
! DFT total energy = -2.4791 eV per atom
! Density of states at the Fermi level = 2.97 states/eV/cell
! Uncorrected formation energy = 44 meV per atom
! Symmetry = No. 123

***

! PSICl2 (PBE, optimized geometry); values from VASP
&SYSTEM
  ibrav = 0, nat = 5, ntyp = 4
/
ATOMIC_SPECIES
I 126.90 I.upf
S 32.06 S.upf
P 30.97 P.upf
Cl 35.45 Cl.upf
CELL_PARAMETERS angstrom
4.5693 0.0000 0.0000
0.0000 4.5693 0.0000
0.0000 0.0000 5.7364
ATOMIC_POSITIONS crystal
I 0.5000 0.5000 0.5000
S 0.0000 0.0000 0.0000
P 0.0000 0.0000 0.5000
Cl 0.5000 0.0000 0.0000
Cl 0.0000 0.5000 0.0000
! DFT total energy = -2.4687 eV per atom
! Density of states at the Fermi level = 3.08 states/eV/cell
! Uncorrected formation energy = 487 meV per atom
! Symmetry = No. 123

***

! MoCl3 (PBE, optimized geometry); values from VASP
&SYSTEM
  ibrav = 0, nat = 4, ntyp = 2
/
ATOMIC_SPECIES
Cl 35.45 Cl.upf
Mo 95.94 Mo.upf
CELL_PARAMETERS angstrom
-2.0564 3.4670 -1.5914
-1.3524 -2.3531 -3.3787
-3.4479 -1.0696 2.1250
ATOMIC_POSITIONS crystal
Cl 0.0000 0.0000 0.0000
Mo 0.0000 0.5000 0.5000
Cl 0.5000 0.0000 0.5000
Cl 0.5000 0.5000 0.0000
! DFT total energy = -3.5208 eV per atom
! Density of states at the Fermi level = 3.49 states/eV/cell
! Uncorrected formation energy = 572 meV per atom
! Symmetry = No. 123

***

! LiCrPt6 (PBE, optimized geometry); values from VASP
&SYSTEM
  ibrav = 0, nat = 8, ntyp = 3
/
ATOMIC_SPECIES
Pt 195.08 Pt.upf
Li 6.94 Li.upf
Cr 52.00 Cr.upf
CELL_PARAMETERS angstrom
-3.7739 -0.3912 0.9038
0.9044 -2.7934 2.5673
0.7759 5.3613 5.5601
ATOMIC_POSITIONS crystal
Pt 0.5000 0.5000 0.0000
Li 0.0000 0.0000 0.0000
Pt 0.5000 0.0000 0.7490
Cr 0.0000 0.0000 0.5000
Pt 0.5000 0.5000 0.5000
Pt 0.0000 0.5000 0.2510
Pt 0.0000 0.5000 0.7490
Pt 0.5000 0.0000 0.2510
! DFT total energy = -6.3117 eV per atom
! Formation energy = -7.8 kcal/mol of atoms
! Density of states at the Fermi level = 10.18 states/eV/cell
! Symmetry = No. 123

***

! KBa2La (PBE, optimized geometry); values from VASP
&SYSTEM
  ibrav = 0, nat = 4, ntyp = 3
/
ATOMIC_SPECIES
K 39.10 K.upf
La 138.91 La.upf
Ba 137.33 Ba.upf
CELL_PARAMETERS angstrom
7.0786 0.0000 0.0000
0.0000 4.1496 -0.2135
0.0000 0.4173 7.3355
ATOMIC_POSITIONS crystal
K 0.0000 0.6223 0.4513
La 0.5000 0.6281 0.8118
Ba 0.5000 0.1267 0.2999
Ba 0.0000 0.1229 0.9370
! DFT total energy = -2.2203 eV per atom
! Formation energy = 5.7 kcal/mol of atoms
! Density of states at the Fermi level = 6.07 states/eV/cell
! Symmetry = No. 6

***

! CsRbSnBr4 (PBE, optimized geometry); values from VASP
&SYSTEM
  ibrav = 0, nat = 7, ntyp = 4
/
ATOMIC_SPECIES
Sn 118.71 Sn.upf
Rb 85.47 Rb.upf
Br 79.90 Br.upf
Cs 132.91 Cs.upf
CELL_PARAMETERS angstrom
5.8591 0.0000 0.0000
0.0000 5.8591 0.0000
-2.9295 -2.9295 8.9598
ATOMIC_POSITIONS crystal
Sn 0.0000 0.0000 0.0001
Rb 0.3612 0.3612 0.7223
Br 0.9957 0.4957 0.9914
Br 0.4957 0.9957 0.9914
Cs 0.6403 0.6403 0.2807
Br 0.8375 0.8375 0.6749
Br 0.1695 0.1695 0.3391
! DFT total energy = -3.1409 eV per atom
! Uncorrected formation energy = -1353 meV per atom
! Symmetry = No. 107

***

Question: Which of these has the highest DFT total energy?
Answer: KBa2La

***

Repeat the second record exactly.
! PSICl2 (PBE, optimized geometry); values from VASP
&SYSTEM
  ibrav = 0, nat = 5, ntyp = 4
/
ATOMIC_SPECIES
I 126.90 I.upf
S 32.06 S.upf
P 30.97 P.upf
Cl 35.45 Cl.upf
CELL_PARAMETERS angstrom
4.5693 0.0000 0.0000
0.0000 4.5693 0.0000
0.0000 0.0000 5.7364
ATOMIC_POSITIONS crystal
I 0.5000 0.5000 0.5000
S 0.0000 0.0000 0.0000
P 0.0000 0.0000 0.5000
Cl 0.5000 0.0000 0.0000
Cl 0.0000 0.5000 0.0000
! DFT total energy = -2.4687 eV per atom
! Density of states at the Fermi level = 3.08 states/eV/cell
! Uncorrected formation energy = 487 meV per atom
! Symmetry = No. 123